A plane-wave DFT calculation with PBE-GGA was carried out for an optimized crystal structure of Pu2Zn5PdRh2.

* formation energy: -0.3453 eV per atom
* crystal system: tetragonal
* electronic total energy: -5.838 eV per atom
* spin magnetization: 11.9 μB/f.u.

Lattice parameters (Å, degrees): 3.0509 10.7057 10.7057 90.00 90.00 90.00
Site moments in Bohr magnetons follow the coordinates.
Sites, in units of the cell vectors:
Zn1 0.5000 0.8090 0.9512  0.01
Rh1 0.0000 0.3660 0.1340  -0.02
Rh2 0.0000 0.1340 0.6340  -0.02
Zn2 0.5000 0.4512 0.3090  0.01
Pd1 0.0000 0.5000 0.5000  0.03
Pu1 0.0000 0.6836 0.1836  5.55
Pd2 0.0000 0.0000 0.0000  0.03
Zn3 0.5000 0.1910 0.0488  0.01
Zn4 0.5000 0.0000 0.5000  0.04
Pu2 0.0000 0.3164 0.8164  5.55
Zn5 0.5000 0.9512 0.1910  0.01
Zn6 0.5000 0.6910 0.4512  0.01
Zn7 0.5000 0.3090 0.5488  0.01
Zn8 0.5000 0.5000 0.0000  0.04
Pu3 0.0000 0.8164 0.6836  5.55
Zn9 0.5000 0.5488 0.6910  0.01
Zn10 0.5000 0.0488 0.8090  0.01
Rh3 0.0000 0.6340 0.8660  -0.02
Rh4 0.0000 0.8660 0.3660  -0.02
Pu4 0.0000 0.1836 0.3164  5.55

A plane-wave DFT calculation with PBE-GGA was carried out for an optimized crystal structure of HoBS.

* crystal system: orthorhombic
* electronic total energy: -5.750 eV per atom
* spin magnetization: 0.0 μB/f.u.
* energy relative to the elements, uncorrected: -0.622 eV/atom

Lattice parameters (Å, degrees): 3.3654 3.8800 7.6933 104.61 90.00 90.00
Sites, in units of the cell vectors:
Ho1 0.2500 0.6023 0.2047
Ho2 0.7500 0.3977 0.7953
B1 0.7500 0.0177 0.0353
S1 0.2500 0.2482 0.4963
B2 0.2500 0.9823 0.9647
S2 0.7500 0.7518 0.5037

A plane-wave DFT calculation with PBE-GGA was carried out for an optimized crystal structure of Li2GaRePb.

* formation energy: 0.9929 eV per atom
* crystal system: tetragonal
* electronic total energy: -3.609 eV per atom
* spin magnetization: 1.2 μB/f.u.

Lattice parameters (Å, degrees): 4.9952 5.2546 4.9952 90.00 90.00 90.00
Site moments in Bohr magnetons follow the coordinates.
Sites, in units of the cell vectors:
Pb1 0.0000 0.5000 0.0000  -0.04
Re1 0.0000 0.0000 0.0000  1.10
Li1 0.5000 0.0000 0.0000  0.01
Ga1 0.5000 0.5000 0.5000  -0.03
Li2 0.0000 0.0000 0.5000  0.00

A plane-wave DFT calculation with PBE-GGA was carried out for an optimized crystal structure of Tl11Hg9Sb4.

* crystal system: triclinic
* electronic total energy: -1.861 eV per atom
* spin magnetization: 0.0 μB/f.u.
* energy relative to the elements, uncorrected: 0.024 eV/atom

Lattice parameters (Å, degrees): 6.2669 13.7790 12.1045 107.42 109.00 117.23
Sites, in units of the cell vectors:
Tl1 0.0157 0.6567 0.0407
Hg1 0.3977 0.8612 0.3910
Sb1 0.5102 0.4051 0.2582
Hg2 0.5689 0.7625 0.0078
Hg3 0.5899 0.0314 0.8017
Hg4 0.4311 0.2375 0.9922
Tl2 0.0474 0.2497 0.5029
Tl3 0.8419 0.1832 0.1610
Tl4 0.1399 0.5587 0.2943
Tl5 0.1581 0.8168 0.8390
Hg5 0.5000 0.5000 0.5000
Hg6 0.6023 0.1388 0.6090
Tl6 0.9598 0.9625 0.3311
Hg7 0.4101 0.9686 0.1983
Tl7 0.0402 0.0375 0.6689
Sb2 0.5345 0.7715 0.6414
Tl8 0.0000 0.0000 0.0000
Tl9 0.8601 0.4413 0.7057
Sb3 0.4656 0.2285 0.3586
Tl10 0.9843 0.3433 0.9593
Sb4 0.4898 0.5949 0.7418
Hg8 0.4068 0.3721 0.8331
Hg9 0.5932 0.6279 0.1669
Tl11 0.9526 0.7503 0.4971

Q: Number 1 is which compound?
A: Pu2Zn5PdRh2

Q: Which value of electronic total energy does entry 3 give?
A: -3.609 eV per atom

Q: Among the records above, which one has the highest spin magnetization?
A: Pu2Zn5PdRh2

Q: Which value of electronic total energy does entry 4 give?
A: -1.861 eV per atom